Record 1
A plane-wave DFT calculation with PBE was carried out for Tb4NdHo3 after structural relaxation.

Cell lengths 5.666, 3.560, 13.338 Å; angles 89.94, 102.26, 90.00 degrees
Fractional coordinates of all 8 atoms:
Nd (0.500, 0.000, 0.000)
Tb (0.605, 0.500, 0.210)
Tb (0.395, 0.500, 0.790)
Tb (0.276, 0.499, 0.552)
Tb (0.724, 0.501, 0.448)
Ho (0.000, 0.500, 0.000)
Ho (0.845, 0.999, 0.690)
Ho (0.155, 0.001, 0.310)

## Properties
Formation energy ... 1.76 eV/f.u.
E_tot ... -4.408 eV/atom
Energy relative to the lowest polymorph listed for this composition ... 19.9 kJ per mole of atoms

Record 2
A plane-wave DFT calculation with PBE was carried out for TbNd5Ho4 after structural relaxation.

Cell lengths 3.610, 10.205, 9.522 Å; angles 105.83, 79.08, 90.06 degrees
Fractional coordinates of all 10 atoms:
Tb (0.500, 0.000, 0.000)
Nd (0.300, 0.601, 0.401)
Nd (0.900, 0.804, 0.200)
Nd (0.100, 0.196, 0.800)
Nd (0.500, 0.500, 0.000)
Nd (0.700, 0.399, 0.599)
Ho (0.301, 0.100, 0.399)
Ho (0.900, 0.296, 0.201)
Ho (0.699, 0.900, 0.601)
Ho (0.100, 0.704, 0.799)

## Properties
Formation energy ... 0.17 eV/f.u.
E_tot ... -4.661 eV/atom
Energy relative to the lowest polymorph listed for this composition ... 0.0 kJ per mole of atoms

Record 3
A plane-wave DFT calculation with PBE was carried out for Tb3NdHo4 after structural relaxation.

Cell lengths 3.465, 6.694, 11.860 Å; angles 106.47, 98.40, 90.00 degrees
Fractional coordinates of all 8 atoms:
Nd (0.500, 0.000, 0.000)
Tb (0.000, 0.500, 0.000)
Tb (0.126, 0.881, 0.253)
Tb (0.874, 0.119, 0.747)
Ho (0.740, 0.242, 0.480)
Ho (0.260, 0.758, 0.520)
Ho (0.126, 0.370, 0.252)
Ho (0.874, 0.630, 0.748)

## Properties
Formation energy ... 1.38 eV/f.u.
E_tot ... -4.448 eV/atom
Energy relative to the lowest polymorph listed for this composition ... 15.4 kJ per mole of atoms

Record 4
A plane-wave DFT calculation with PBE was carried out for Tb8NdHo2 after structural relaxation.

Cell lengths 5.900, 9.037, 9.351 Å; angles 61.11, 74.08, 55.41 degrees
Fractional coordinates of all 11 atoms:
Tb (0.814, 0.099, 0.242)
Tb (0.814, 0.340, 0.758)
Tb (0.292, 0.433, 0.000)
Tb (0.500, 0.794, 0.411)
Tb (0.500, 0.206, 0.589)
Tb (0.708, 0.567, 0.000)
Tb (0.186, 0.660, 0.242)
Tb (0.186, 0.901, 0.758)
Nd (0.500, 0.000, 0.000)
Ho (0.000, 0.310, 0.381)
Ho (0.000, 0.690, 0.619)

## Properties
Formation energy ... 1.69 eV/f.u.
E_tot ... -4.479 eV/atom
Energy relative to the lowest polymorph listed for this composition ... 3.9 kJ per mole of atoms

Record 5
A plane-wave DFT calculation with PBE was carried out for TbNdHo after structural relaxation.

Cell lengths 4.855, 4.855, 8.709 Å; angles 90.00, 90.00, 90.00 degrees
Fractional coordinates of all 6 atoms:
Ho (0.000, 0.000, 0.000)
Ho (0.500, 0.500, 0.000)
Nd (0.000, 0.500, 0.696)
Nd (0.500, 0.000, 0.304)
Tb (0.000, 0.500, 0.298)
Tb (0.500, 0.000, 0.702)

## Properties
Formation energy ... 0.61 eV/f.u.
E_tot ... -4.457 eV/atom
Energy relative to the lowest polymorph listed for this composition ... 17.6 kJ per mole of atoms

Record 6
A plane-wave DFT calculation with PBE was carried out for Tb4Nd5Ho2 after structural relaxation.

Cell lengths 3.562, 11.670, 9.057 Å; angles 93.94, 101.34, 90.00 degrees
Fractional coordinates of all 11 atoms:
Tb (0.359, 0.205, 0.719)
Tb (0.964, 0.739, 0.927)
Tb (0.641, 0.795, 0.281)
Tb (0.036, 0.261, 0.073)
Nd (0.903, 0.464, 0.806)
Nd (0.097, 0.536, 0.194)
Nd (0.823, 0.929, 0.646)
Nd (0.500, 0.000, 0.000)
Nd (0.177, 0.071, 0.354)
Ho (0.716, 0.354, 0.432)
Ho (0.284, 0.646, 0.568)

## Properties
Formation energy ... 0.82 eV/f.u.
E_tot ... -4.609 eV/atom
Energy relative to the lowest polymorph listed for this composition ... 0.0 kJ per mole of atoms

Record 7
A plane-wave DFT calculation with PBE was carried out for Tb15Nd2Ho2 after structural relaxation.

Cell lengths 8.747, 8.747, 8.747 Å; angles 79.89, 79.89, 79.89 degrees
Fractional coordinates of all 19 atoms:
Tb (0.000, 0.500, 0.000)
Tb (0.000, 0.000, 0.500)
Tb (0.500, 0.000, 0.000)
Tb (0.296, 0.000, 0.704)
Tb (0.704, 0.296, 0.000)
Tb (0.000, 0.704, 0.296)
Tb (0.296, 0.704, 0.000)
Tb (0.000, 0.296, 0.704)
Tb (0.704, 0.000, 0.296)
Tb (0.370, 0.851, 0.370)
Tb (0.370, 0.370, 0.851)
Tb (0.851, 0.370, 0.370)
Tb (0.630, 0.149, 0.630)
Tb (0.630, 0.630, 0.149)
Tb (0.149, 0.630, 0.630)
Nd (0.674, 0.674, 0.674)
Nd (0.326, 0.326, 0.326)
Ho (0.905, 0.905, 0.905)
Ho (0.095, 0.095, 0.095)

## Properties
Formation energy ... 5.18 eV/f.u.
E_tot ... -4.367 eV/atom

Record 8
A plane-wave DFT calculation with PBE was carried out for Tb6NdHo after structural relaxation.

Cell lengths 5.051, 5.051, 10.094 Å; angles 90.00, 90.00, 90.00 degrees
Fractional coordinates of all 8 atoms:
Tb (0.500, 0.500, 0.000)
Tb (0.500, 0.500, 0.500)
Tb (0.500, 0.000, 0.253)
Tb (0.500, 0.000, 0.747)
Tb (0.000, 0.500, 0.253)
Tb (0.000, 0.500, 0.747)
Nd (0.000, 0.000, 0.000)
Ho (0.000, 0.000, 0.500)

## Properties
Formation energy ... 0.17 eV/f.u.
E_tot ... -4.620 eV/atom
Energy relative to the lowest polymorph listed for this composition ... 0.0 kJ per mole of atoms

Record 9
A plane-wave DFT calculation with PBE was carried out for Tb14NdHo after structural relaxation.

Cell lengths 7.159, 7.159, 11.526 Å; angles 90.00, 90.00, 120.00 degrees
Fractional coordinates of all 16 atoms:
Tb (0.042, 0.958, 0.000)
Tb (0.542, 0.458, 0.000)
Tb (0.208, 0.292, 0.500)
Tb (0.042, 0.458, 0.000)
Tb (0.708, 0.792, 0.500)
Tb (0.542, 0.958, 0.000)
Tb (0.375, 0.125, 0.751)
Tb (0.375, 0.125, 0.249)
Tb (0.875, 0.625, 0.751)
Tb (0.875, 0.625, 0.249)
Tb (0.375, 0.625, 0.750)
Tb (0.375, 0.625, 0.250)
Tb (0.875, 0.125, 0.751)
Tb (0.875, 0.125, 0.249)
Nd (0.708, 0.292, 0.500)
Ho (0.208, 0.792, 0.500)

## Properties
Formation energy ... 0.01 eV/f.u.
E_tot ... -4.635 eV/atom

Record 10
A plane-wave DFT calculation with PBE was carried out for Tb12Nd5Ho2 after structural relaxation.

Cell lengths 9.139, 10.044, 8.699 Å; angles 67.04, 90.00, 117.06 degrees
Fractional coordinates of all 19 atoms:
Tb (0.954, 0.907, 0.183)
Tb (0.039, 0.709, 0.907)
Tb (0.670, 0.709, 0.907)
Tb (0.149, 0.746, 0.456)
Tb (0.597, 0.746, 0.456)
Tb (0.439, 0.877, 0.718)
Tb (0.561, 0.123, 0.282)
Tb (0.851, 0.254, 0.544)
Tb (0.403, 0.254, 0.544)
Tb (0.961, 0.291, 0.093)
Tb (0.330, 0.291, 0.093)
Tb (0.046, 0.093, 0.817)
Nd (0.238, 0.476, 0.706)
Nd (0.289, 0.579, 0.223)
Nd (0.000, 0.000, 0.500)
Nd (0.711, 0.421, 0.777)
Nd (0.762, 0.524, 0.294)
Ho (0.673, 0.000, 0.000)
Ho (0.327, 0.000, 0.000)

## Properties
Formation energy ... 4.01 eV/f.u.
E_tot ... -4.450 eV/atom

Record 11
A plane-wave DFT calculation with PBE was carried out for TbNd12Ho6 after structural relaxation.

Cell lengths 8.680, 8.680, 8.680 Å; angles 88.94, 88.94, 88.94 degrees
Fractional coordinates of all 19 atoms:
Tb (0.000, 0.000, 0.000)
Nd (0.782, 0.536, 0.433)
Nd (0.433, 0.782, 0.536)
Nd (0.536, 0.433, 0.782)
Nd (0.218, 0.464, 0.567)
Nd (0.567, 0.218, 0.464)
Nd (0.464, 0.567, 0.218)
Nd (0.018, 0.194, 0.363)
Nd (0.806, 0.637, 0.982)
Nd (0.637, 0.982, 0.806)
Nd (0.982, 0.806, 0.637)
Nd (0.194, 0.363, 0.018)
Nd (0.363, 0.018, 0.194)
Ho (0.741, 0.901, 0.297)
Ho (0.703, 0.259, 0.099)
Ho (0.099, 0.703, 0.259)
Ho (0.259, 0.099, 0.703)
Ho (0.297, 0.741, 0.901)
Ho (0.901, 0.297, 0.741)

## Properties
Formation energy ... 2.51 eV/f.u.
E_tot ... -4.568 eV/atom
Energy relative to the lowest polymorph listed for this composition ... 11.3 kJ per mole of atoms

Record 12
A plane-wave DFT calculation with PBE was carried out for Tb3Nd2Ho after structural relaxation.

Cell lengths 3.511, 10.295, 11.834 Å; angles 108.22, 98.53, 90.00 degrees
Fractional coordinates of all 12 atoms:
Tb (0.695, 0.717, 0.390)
Tb (0.930, 0.232, 0.860)
Tb (0.559, 0.445, 0.118)
Tb (0.305, 0.283, 0.610)
Tb (0.441, 0.555, 0.882)
Tb (0.070, 0.768, 0.140)
Nd (0.691, 0.370, 0.383)
Nd (0.309, 0.630, 0.617)
Nd (0.069, 0.135, 0.138)
Nd (0.931, 0.865, 0.862)
Ho (0.689, 0.037, 0.379)
Ho (0.311, 0.963, 0.621)

## Properties
Formation energy ... 0.71 eV/f.u.
E_tot ... -4.549 eV/atom
Energy relative to the lowest polymorph listed for this composition ... 0.0 kJ per mole of atoms